First-principles (PBE-GGA) data for a relaxed KCa3Tc crystal, as listed in Alexandria.

theoretical density	2.71	g cm⁻³
electronic total energy	-1.665	eV/atom
formation enthalpy at 0 K	1.83	eV per atom
distance to the lowest polymorph of the same formula	1.3909	eV per atom

```
data_KCa3Tc
_cell_length_a 5.404
_cell_length_b 5.404
_cell_length_c 5.404
_cell_angle_alpha 90.00
_cell_angle_beta 90.00
_cell_angle_gamma 90.00
_symmetry_space_group_name_H-M 'P m -3 m'
_symmetry_Int_Tables_number 221
_symmetry_space_group_name_Hall '-P 4 2 3'
loop_
_atom_site_label
_atom_site_fract_x
_atom_site_fract_y
_atom_site_fract_z
K1 0.000 0.000 0.000
Ca1 0.000 0.000 0.500
Tc1 0.500 0.500 0.500
```